Material: Na2CoPt2Se6
Method: DFT, PBE-GGA
State: relaxed

The calculation puts the volume at 501.7 Å³ per cell. The uncorrected formation energy comes out at -5.662 eV/f.u. As for the size of the total moment: 0.00 μB per formula unit.

The structure belongs to space group C2/m (No. 12); the cell edges are 6.498, 11.197 and 7.285 Å and the angles 90.00°, 108.82° and 90.00°. The inequivalent atoms are Na at (0.000, 0.172, 0.000), Co at (0.000, 0.000, 0.500), Pt at (0.000, 0.332, 0.500), Se at (0.225, 0.160, 0.686) and Se at (0.250, 0.000, 0.316).


Material: PrTm2Ru
Method: DFT, PBE-GGA
State: relaxed

The calculation puts the volume at 333.3 Å³ per cell. The value obtained for the formation energy is -0.069 eV/atom. As for the size of the total moment: 0.00 μB per formula unit.

The structure belongs to space group R-3m (No. 166, hexagonal axes); the cell edges are 3.6528, 3.6528 and 28.8391 Å and the angles 90.00°, 90.00° and 120.00°. The inequivalent atoms are Pr at (0.0000, 0.0000, 0.0000), Tm at (0.0000, 0.0000, 0.2265) and Ru at (0.0000, 0.0000, 0.5000).


Material: K2RbCdIn
Method: DFT, PBE-GGA
State: relaxed

The calculation puts the volume at 263.8 Å³ per cell. The value obtained for the formation energy is 0.039 eV/atom. As for the size of the total moment: 0.00 μB per formula unit.

The structure belongs to space group P4/mmm (No. 123); the cell edges are 6.799, 6.799 and 5.706 Å and the angles 90.00°, 90.00° and 90.00°. The inequivalent atoms are K at (0.000, 0.500, 0.000), Rb at (0.000, 0.000, 0.500), Cd at (0.500, 0.500, 0.000) and In at (0.500, 0.500, 0.500).


Material: Cd4In3Pb2
Method: DFT, PBE-GGA
State: relaxed

The calculation puts the volume at 979.5 Å³ per cell. The value obtained for the formation energy is 0.057 eV/atom. As for the size of the total moment: 0.00 μB per formula unit.

The structure belongs to space group Cmce (No. 64); the cell edges are 6.406, 17.855 and 8.564 Å and the angles 90.00°, 90.00° and 90.00°. The inequivalent atoms are Cd at (0.000, 0.170, 0.004), Cd at (0.250, 0.081, 0.750), In at (0.000, 0.000, 0.000), In at (0.250, 0.247, 0.250) and Pb at (0.000, 0.078, 0.378).